1.
LiNpCuSn, relaxed, DFT PBE-GGA; energy of formation = 29 meV/atom; E_tot = -5.709 eV per atom; DOS at the Fermi energy = 8.7 states/eV/f.u.
1.0
4.7617 0.0000 0.0000
2.3808 4.1237 0.0000
2.3808 1.3746 3.8879
Li Sn Cu Np
1 1 1 1
Direct
0.5000 0.5000 0.5000
0.2500 0.2500 0.2500
0.0000 0.0000 0.0000
0.7500 0.7500 0.7500

2.
LiNpCuTe3, relaxed, DFT PBE-GGA; ΔE_f (raw) = -3.34 eV per formula unit; E_tot = -5.286 eV per atom; DOS at the Fermi energy = 11.2 states/eV/f.u.
1.0
-3.1048 2.2275 1.4659
-2.3318 -6.5068 4.9483
5.8187 4.3545 5.7070
Te Cu Li Np
6 2 2 2
Direct
0.2500 0.0963 0.8651
0.7500 0.2459 0.5135
0.7500 0.4070 0.1592
0.2500 0.5930 0.8408
0.7500 0.9037 0.1349
0.2500 0.7541 0.4865
0.7500 0.9315 0.4256
0.2500 0.0685 0.5744
0.7500 0.3514 0.8407
0.2500 0.6486 0.1593
0.7500 0.8297 0.7579
0.2500 0.1703 0.2421

3.
Li2CuO2, relaxed, DFT PBE-GGA; ΔE_f (raw) = -6.18 eV per formula unit; E_tot = -4.803 eV per atom; DOS at the Fermi energy = 2.3 states/eV/f.u.; relative energy among the computed polymorphs = 139 meV/atom
1.0
4.5359 -0.0181 -2.3379
-2.8458 4.2142 -0.4271
-0.0122 0.0181 5.1030
Cu Li O
2 4 4
Direct
0.0000 0.0000 0.0000
0.5000 0.7500 0.2500
0.6550 0.2800 0.1250
0.8450 0.3750 0.7200
0.1550 0.8750 0.5300
0.3450 0.4700 0.6250
0.9833 0.1083 0.6250
0.0167 0.6417 0.1250
0.5167 0.8750 0.8917
0.4833 0.3750 0.3583

4.
Li2CuO2, relaxed, DFT PBE-GGA; ΔE_f (raw) = -4.62 eV per formula unit; E_tot = -4.492 eV per atom; DOS at the Fermi energy = 1.9 states/eV/f.u.; relative energy among the computed polymorphs = 450 meV/atom
1.0
-1.9927 1.9927 3.6248
1.9927 -1.9927 3.6248
1.9927 1.9927 -3.6248
O Li Cu
2 2 1
Direct
0.0000 0.5000 0.5000
0.5000 0.0000 0.5000
0.2500 0.7500 0.5000
0.7500 0.2500 0.5000
0.0000 0.0000 0.0000

5.
LiCuO2, relaxed, DFT PBE-GGA; ΔE_f (raw) = -4.19 eV per formula unit; E_tot = -5.029 eV per atom; DOS at the Fermi energy = 0.1 states/eV/f.u.
1.0
5.3324 0.0021 0.0000
-4.3278 3.1152 0.0000
0.0000 0.0000 5.2832
O Li Cu
4 2 2
Direct
0.1257 0.8743 0.0081
0.8743 0.1257 0.9919
0.1257 0.8743 0.4919
0.8743 0.1257 0.5081
0.2823 0.7177 0.7500
0.7177 0.2823 0.2500
0.9960 0.0040 0.2500
0.0040 0.9960 0.7500

6.
LiCu2O3, relaxed, DFT PBE-GGA; ΔE_f (raw) = -5.61 eV per formula unit; E_tot = -5.099 eV per atom; DOS at the Fermi energy = 2.7 states/eV/f.u.
1.0
3.4651 0.0000 0.0000
0.0000 3.7598 0.0000
0.0000 0.0000 9.4853
Li O Cu
2 6 4
Direct
0.2961 0.0000 0.0000
0.7039 0.5000 0.5000
0.0953 0.5000 0.3303
0.9047 0.0000 0.1697
0.0953 0.5000 0.6697
0.5050 0.0000 0.5000
0.4950 0.5000 0.0000
0.9047 0.0000 0.8303
0.8043 0.5000 0.1595
0.1957 0.0000 0.3405
0.1957 0.0000 0.6595
0.8043 0.5000 0.8405

7.
LiCu3O, relaxed, DFT PBE-GGA; ΔE_f (raw) = -0.15 eV per formula unit; E_tot = -3.861 eV per atom; DOS at the Fermi energy = 1.3 states/eV/f.u.; relative energy among the computed polymorphs = 0 meV/atom
1.0
4.0264 0.0000 0.0000
0.0000 4.0264 0.0000
0.0000 0.0000 4.0264
Cu Li O
3 1 1
Direct
0.0000 0.5000 0.0000
0.5000 0.0000 0.0000
0.0000 0.0000 0.5000
0.5000 0.5000 0.5000
0.0000 0.0000 0.0000

8.
LiCuO2, relaxed, DFT PBE-GGA; ΔE_f (raw) = -4.28 eV per formula unit; E_tot = -5.051 eV per atom; DOS at the Fermi energy = 1.2 states/eV/f.u.
1.0
5.1295 0.0215 -0.2415
-4.4115 2.6174 0.2415
-3.8573 1.0495 6.3365
O Cu Li
4 2 2
Direct
0.5187 0.4813 0.2964
0.2384 0.7616 0.7661
0.4518 0.5482 0.6854
0.7231 0.2769 0.2064
0.1193 0.8807 0.2479
0.8453 0.1547 0.7260
0.9724 0.0276 0.4658
0.6961 0.3039 0.9297

9.
LiCu2O, relaxed, DFT PBE-GGA; ΔE_f (raw) = -0.69 eV per formula unit; E_tot = -3.938 eV per atom; DOS at the Fermi energy = 1.7 states/eV/f.u.
1.0
4.9894 0.0000 0.0000
0.0000 4.9894 0.0000
2.4947 2.4947 5.6524
Li Cu O
2 4 2
Direct
0.5000 0.5000 0.0000
0.2500 0.7500 0.5000
0.8751 0.6250 0.2500
0.8750 0.1249 0.7500
0.8749 0.1250 0.2500
0.3750 0.1251 0.7500
0.7500 0.2500 0.5000
0.0000 0.0000 0.0000

10.
Li3CuO, relaxed, DFT PBE-GGA; ΔE_f (raw) = -4.55 eV per formula unit; E_tot = -3.869 eV per atom; DOS at the Fermi energy = 0.0 states/eV/f.u.; relative energy among the computed polymorphs = 0 meV/atom
1.0
-2.3159 -3.1367 -0.0879
2.9698 -2.1556 -1.3203
1.0134 -0.8509 3.6686
O Li Cu
1 3 1
Direct
0.0000 0.0000 0.0000
0.0000 0.0000 0.5000
0.0000 0.5000 0.0000
0.5000 0.0000 0.0000
0.5000 0.5000 0.5000

11.
Li2Cu2O3, relaxed, DFT PBE-GGA; ΔE_f (raw) = -7.41 eV per formula unit; E_tot = -4.901 eV per atom; DOS at the Fermi energy = 3.7 states/eV/f.u.
1.0
-4.4847 -2.2179 1.6927
1.8870 -0.4261 4.4412
-4.0878 3.8671 2.1079
Li O Cu
4 6 4
Direct
0.8623 0.6954 0.8666
0.6377 0.1954 0.1334
0.3623 0.8046 0.8666
0.1377 0.3046 0.1334
0.7627 0.4854 0.3196
0.7373 0.9854 0.6804
0.0000 0.0000 0.0000
0.2373 0.5146 0.6804
0.2627 0.0146 0.3196
0.5000 0.5000 0.0000
0.9316 0.8323 0.3282
0.4316 0.6677 0.3282
0.5684 0.3323 0.6718
0.0684 0.1677 0.6718

12.
LiCuO2, relaxed, DFT PBE-GGA; ΔE_f (raw) = -4.33 eV per formula unit; E_tot = -5.065 eV per atom
1.0
6.6558 -0.1576 -0.2108
0.7764 8.0152 -0.0732
0.8496 3.1604 6.7685
O Li Cu
16 8 8
Direct
0.1434 0.1132 0.2038
0.1133 0.6347 0.5803
0.8864 0.3618 0.9586
0.1136 0.6382 0.0414
0.3669 0.8681 0.5056
0.6044 0.6346 0.2358
0.8836 0.8782 0.2940
0.8867 0.3653 0.4197
0.6562 0.5959 0.6796
0.6326 0.1145 0.0472
0.3674 0.8855 0.9528
0.3956 0.3654 0.7642
0.8566 0.8868 0.7962
0.1164 0.1218 0.7060
0.6331 0.1319 0.4944
0.3438 0.4041 0.3204
0.9159 0.6311 0.8025
0.8196 0.6180 0.4292
0.6668 0.8736 0.0126
0.0841 0.3689 0.1975
0.6050 0.9768 0.3532
0.3950 0.0232 0.6468
0.3332 0.1264 0.9874
0.1804 0.3820 0.5708
0.8726 0.1246 0.6038
0.6433 0.3579 0.8609
0.6166 0.3823 0.3613
0.1069 0.8821 0.8843
0.3834 0.6177 0.6387
0.1274 0.8754 0.3962
0.8931 0.1179 0.1157
0.3567 0.6421 0.1391

13.
LiCu3O, relaxed, DFT PBE-GGA; ΔE_f (raw) = 5.08 eV per formula unit; E_tot = -2.817 eV per atom; DOS at the Fermi energy = 0.3 states/eV/f.u.; relative energy among the computed polymorphs = 1044 meV/atom
1.0
4.0398 0.0000 0.0000
0.0000 4.0398 0.0000
0.0000 0.0000 4.0398
Cu Li O
3 1 1
Direct
0.0000 0.0000 0.5000
0.0000 0.5000 0.0000
0.5000 0.0000 0.0000
0.0000 0.0000 0.0000
0.5000 0.5000 0.5000

14.
LiCuO2, relaxed, DFT PBE-GGA; ΔE_f (raw) = -4.29 eV per formula unit; E_tot = -5.054 eV per atom
1.0
2.7563 0.0000 0.0000
0.0000 5.1415 0.0000
0.0000 0.0000 5.3177
Cu O Li
2 4 2
Direct
0.5000 0.0000 0.0000
0.0000 0.5000 0.5000
0.0000 0.8030 0.1440
0.5000 0.6970 0.6440
0.0000 0.1970 0.8560
0.5000 0.3030 0.3560
0.5000 0.5000 0.0000
0.0000 0.0000 0.5000

15.
Li4Cu3O6, relaxed, DFT PBE-GGA; ΔE_f (raw) = -15.49 eV per formula unit; E_tot = -5.014 eV per atom; DOS at the Fermi energy = 4.8 states/eV/f.u.; relative energy among the computed polymorphs = 27 meV/atom
1.0
5.3337 0.0062 -0.0005
4.1769 3.3169 -0.0005
2.1844 0.7632 8.0563
O Li Cu
6 4 3
Direct
0.3751 0.3751 0.8742
0.3686 0.3686 0.2051
0.6252 0.6252 0.4591
0.6346 0.6346 0.7822
0.3656 0.3656 0.5511
0.6317 0.6317 0.1282
0.7763 0.7763 0.2560
0.2240 0.2240 0.0772
0.2228 0.2228 0.7743
0.7775 0.7775 0.5590
0.5045 0.5045 0.9971
0.5001 0.5001 0.6667
0.4957 0.4957 0.3364

16.
LiCuO2, relaxed, DFT PBE-GGA; ΔE_f (raw) = -4.08 eV per formula unit; E_tot = -5.001 eV per atom; DOS at the Fermi energy = 0.2 states/eV/f.u.
1.0
5.0708 0.0000 0.0000
4.2208 2.8103 0.0000
4.2208 1.2766 2.5037
O Cu Li
2 1 1
Direct
0.7435 0.7435 0.7435
0.2565 0.2565 0.2565
0.0000 0.0000 0.0000
0.5000 0.5000 0.5000

17.
Li3Cu5O12, relaxed, DFT PBE-GGA; ΔE_f (raw) = -7.96 eV per formula unit; E_tot = -4.684 eV per atom; DOS at the Fermi energy = 16.2 states/eV/f.u.
1.0
-7.2483 -6.8273 -2.7521
2.7030 -1.6246 9.8377
-3.7326 9.5800 -1.0086
Cu Li O
20 12 48
Direct
0.2500 0.8750 0.1250
0.6250 0.8750 0.2500
0.5000 0.0000 0.5000
0.0000 0.0000 0.5000
0.1250 0.3750 0.2500
0.0000 0.5000 0.0000
0.3750 0.2500 0.1250
0.5000 0.5000 0.5000
0.6250 0.7500 0.8750
0.7500 0.1250 0.8750
0.5000 0.5000 0.0000
0.5000 0.0000 0.0000
0.2500 0.3750 0.6250
0.3750 0.1250 0.7500
0.7500 0.6250 0.3750
0.8750 0.2500 0.6250
0.8750 0.6250 0.7500
0.1250 0.7500 0.3750
0.0000 0.5000 0.5000
0.0000 0.0000 0.0000
0.8750 0.1250 0.2500
0.8750 0.7500 0.1250
0.3750 0.7500 0.6250
0.7500 0.8750 0.6250
0.6250 0.2500 0.3750
0.1250 0.2500 0.8750
0.2500 0.6250 0.8750
0.2500 0.1250 0.3750
0.6250 0.3750 0.7500
0.7500 0.3750 0.1250
0.1250 0.8750 0.7500
0.3750 0.6250 0.2500
0.4445 0.3044 0.3322
0.6678 0.4722 0.6123
0.3877 0.0278 0.3322
0.1123 0.9445 0.1401
0.6123 0.9722 0.6678
0.3044 0.4445 0.8322
0.8044 0.4722 0.3599
0.6678 0.1956 0.5555
0.5555 0.6956 0.6678
0.0278 0.3877 0.8322
0.3322 0.8044 0.4445
0.5278 0.3322 0.8877
0.9445 0.8322 0.8044
0.8322 0.8877 0.0278
0.6956 0.1401 0.0278
0.4445 0.1401 0.6123
0.1123 0.1678 0.4722
0.5278 0.1956 0.1401
0.0555 0.8877 0.3599
0.3599 0.3877 0.0555
0.1401 0.6956 0.5278
0.5555 0.8599 0.3877
0.1678 0.1123 0.9722
0.6401 0.0278 0.1956
0.1956 0.5278 0.6401
0.3044 0.8599 0.9722
0.8322 0.9445 0.3044
0.3322 0.5278 0.3877
0.8877 0.8322 0.5278
0.8044 0.3322 0.9445
0.3599 0.9722 0.8044
0.1678 0.0555 0.6956
0.4722 0.8044 0.8599
0.0278 0.6401 0.6956
0.1401 0.4445 0.1123
0.8877 0.0555 0.8599
0.6401 0.6123 0.9445
0.8599 0.5555 0.8877
0.1956 0.6678 0.0555
0.6123 0.6401 0.4445
0.3877 0.3599 0.5555
0.4722 0.6678 0.1123
0.6956 0.5555 0.1678
0.0555 0.1678 0.1956
0.9722 0.6123 0.1678
0.8599 0.3044 0.4722
0.9445 0.1123 0.6401
0.9722 0.3599 0.3044

18.
LiCuO3, relaxed, DFT PBE-GGA; ΔE_f (raw) = 2.05 eV per formula unit; E_tot = -3.768 eV per atom; DOS at the Fermi energy = 7.9 states/eV/f.u.
1.0
3.5068 0.0000 0.0000
0.0000 3.5068 0.0000
0.0000 0.0000 3.5068
Cu Li O
1 1 3
Direct
0.5000 0.5000 0.5000
0.0000 0.0000 0.0000
0.5000 0.0000 0.0000
0.0000 0.5000 0.0000
0.0000 0.0000 0.5000

19.
Li2CuO2, relaxed, DFT PBE-GGA; ΔE_f (raw) = -6.64 eV per formula unit; E_tot = -4.895 eV per atom; DOS at the Fermi energy = 0.7 states/eV/f.u.; relative energy among the computed polymorphs = 47 meV/atom
1.0
3.6439 0.0000 0.0000
-1.8220 5.0651 -0.3921
0.0000 -3.1827 6.1842
Cu Li O
2 4 4
Direct
0.6473 0.2946 0.1100
0.3527 0.7054 0.8900
0.9722 0.9443 0.2991
0.0278 0.0557 0.7009
0.3275 0.6549 0.4896
0.6725 0.3451 0.5104
0.4886 0.9773 0.1945
0.1780 0.3561 0.6060
0.5114 0.0227 0.8055
0.8220 0.6439 0.3940

20.
LiCuO2, relaxed, DFT PBE-GGA; ΔE_f (raw) = -4.37 eV per formula unit; E_tot = -5.074 eV per atom; DOS at the Fermi energy = 0.0 states/eV/f.u.
1.0
2.7353 0.0000 0.0000
1.3676 2.9309 0.0000
1.3676 0.2378 4.8739
O Cu Li
2 1 1
Direct
0.5840 0.0856 0.7465
0.4160 0.9144 0.2535
0.0000 0.0000 0.0000
0.0000 0.5000 0.5000